No. 1
VASP calculation (PBE-GGA) on RbMg2MoAu after structural relaxation.

Lattice parameters (Å, degrees): 5.408 5.107 5.408 90.00 90.00 90.00
Each line ends with the local moment (μB).
Positions (direct):
Mg 0.500 0.000 0.000  0.00
Mo 0.000 0.000 0.000  0.37
Au 0.000 0.500 0.000  0.02
Rb 0.500 0.500 0.500  0.00
Mg 0.000 0.000 0.500  0.00

Computed properties:
Energy (eV/atom): -2.994
Spin magnetization (μB/f.u.): 0.446
Formation energy from the elements (eV/atom): 0.659
Space-group type: No. 123
Calculated volume (Å³/cell): 149.39

No. 2
VASP calculation (PBE-GGA) on MgScMo2Au after structural relaxation.

Lattice parameters (Å, degrees): 4.943 5.034 4.943 90.00 90.00 90.00
Positions (direct):
Mo 0.000 0.000 0.500
Au 0.000 0.000 0.000
Sc 0.000 0.500 0.000
Mo 0.500 0.000 0.000
Mg 0.500 0.500 0.500

Computed properties:
Energy (eV/atom): -5.213
Spin magnetization (μB/f.u.): 0.000
Formation energy from the elements (eV/atom): 1.360
Space-group type: No. 123
Calculated volume (Å³/cell): 123.02

Repeat the second record exactly.
VASP calculation (PBE-GGA) on MgScMo2Au after structural relaxation.

Lattice parameters (Å, degrees): 4.943 5.034 4.943 90.00 90.00 90.00
Positions (direct):
Mo 0.000 0.000 0.500
Au 0.000 0.000 0.000
Sc 0.000 0.500 0.000
Mo 0.500 0.000 0.000
Mg 0.500 0.500 0.500

Computed properties:
Energy (eV/atom): -5.213
Spin magnetization (μB/f.u.): 0.000
Formation energy from the elements (eV/atom): 1.360
Space-group type: No. 123
Calculated volume (Å³/cell): 123.02

- Among the records above, which one has the highest energy?
  RbMg2MoAu

What did the second record say?
VASP calculation (PBE-GGA) on MgScMo2Au after structural relaxation.

Lattice parameters (Å, degrees): 4.943 5.034 4.943 90.00 90.00 90.00
Positions (direct):
Mo 0.000 0.000 0.500
Au 0.000 0.000 0.000
Sc 0.000 0.500 0.000
Mo 0.500 0.000 0.000
Mg 0.500 0.500 0.500

Computed properties:
Energy (eV/atom): -5.213
Spin magnetization (μB/f.u.): 0.000
Formation energy from the elements (eV/atom): 1.360
Space-group type: No. 123
Calculated volume (Å³/cell): 123.02

- What is the formula in the second record?
  MgScMo2Au